NaTlBiAs | PBE | relaxed

Values from the calculation:
Total magnetization (μB/atom): 0.0000
ΔE_f (kJ/mol of atoms): 0.8
Crystal system: cubic

a = 5.3573 Å, b = 5.3573 Å, c = 5.3573 Å
α = 60.00°, β = 60.00°, γ = 60.00°
Fractional positions:
Na  0.2500  0.2500  0.2500
Bi  0.7500  0.7500  0.7500
As  0.5000  0.5000  0.5000
Tl  0.0000  0.0000  0.0000